GGA-PBE MgCo2ReBr, relaxed; magnetic moment = 0.393 μB/atom; symmetry = No. 123; E_form (uncorrected) = 1171 meV/atom; Fermi-level density of states = 1.985 states/eV/atom
1.0
-3.0582 -2.3973 -2.1698
3.8115 -1.5341 -3.6771
0.9950 -3.5394 2.5080
Re Mg Co Br
1 1 2 1
Cartesian
0.0000 0.0000 0.0000
1.9058 -0.7671 -1.8386
0.4975 -1.7697 1.2540
-1.5291 -1.1986 -1.0849
0.8742 -3.7354 -1.6695



GGA-PBE Mg2CoRuBr, relaxed; magnetic moment = 0.321 μB/atom; symmetry = No. 123; E_form (uncorrected) = 518 meV/atom; Fermi-level density of states = 0.891 states/eV/atom
1.0
5.1791 0.0000 0.0000
0.0000 4.3523 0.0000
0.0000 0.0000 5.1791
Ru Mg Co Br
1 2 1 1
Cartesian
0.0000 0.0000 0.0000
0.0000 0.0000 2.5896
2.5896 0.0000 0.0000
0.0000 2.1761 0.0000
2.5896 2.1761 2.5896



GGA-PBE MgCoSeBr2, relaxed; magnetic moment = 0.230 μB/atom; symmetry = No. 123; E_form (uncorrected) = -115 meV/atom; energy above the lowest structure with this stoichiometry = 0 meV per atom; Fermi-level density of states = 1.012 states/eV/atom
1.0
-4.6786 -0.8587 -1.2227
1.4910 -2.4253 -4.0020
0.0939 -4.0935 2.5157
Mg Co Se Br
1 1 1 2
Cartesian
-1.5468 -3.6887 -1.3545
0.0000 0.0000 0.0000
0.0469 -2.0467 1.2578
0.7455 -1.2126 -2.0010
-2.3393 -0.4293 -0.6113